Sm2DyGa3 | PBE | optimized geometry

The calculated volume comes out at 25.53 A^3/atom. For the relative energy among the computed polymorphs, the calculation gives 86 meV per atom. The calculation puts the energy of formation from the pure elements at -488 meV per atom.

The structure belongs to space group Cmcm (No. 63); the cell edges are 4.637, 21.130 and 6.254 Å and the angles 90.00°, 90.00° and 90.00°. Symmetry generates all atoms from Sm at (0.000, 0.034, 0.250), Sm at (0.000, 0.145, 0.750), Dy at (0.000, 0.325, 0.750), Ga at (0.000, 0.259, 0.250) and Ga at (0.000, 0.438, 0.046).